# Cd2NiPt, relaxed, DFT PBE-GGA
data_Cd2NiPt
_cell_length_a 7.265
_cell_length_b 7.265
_cell_length_c 5.825
_cell_angle_alpha 51.42
_cell_angle_beta 51.42
_cell_angle_gamma 90.00
_symmetry_space_group_name_H-M 'P 1'
_symmetry_Int_Tables_number 1
loop_
_symmetry_equiv_pos_as_xyz
'x,y,z'
loop_
_atom_site_label
_atom_site_type_symbol
_atom_site_fract_x
_atom_site_fract_y
_atom_site_fract_z
Ni1 Ni 0.500 0.500 0.000
Ni2 Ni 0.250 0.750 0.500
Pt1 Pt 0.000 0.000 0.000
Pt2 Pt 0.750 0.250 0.500
Cd1 Cd 0.607 0.125 0.250
Cd2 Cd 0.143 0.625 0.250
Cd3 Cd 0.375 0.393 0.750
Cd4 Cd 0.875 0.857 0.750
# SG: No. 122
# Total magnetic moment in μB/f.u.: 0.00
# Electronic total energy in eV for the cell shown: -25.76
# N(E_F) in states/eV per cell: 3.35
# E_form in eV per atom: 0.193